# 1
{"formula": "Ce2YTc", "functional": "PBE", "state": "relaxed", "lattice": [[1.939, 1.119, 8.720], [-1.939, 1.119, 8.720], [0.000, -2.239, 8.720]], "species": ["Ce", "Ce", "Y", "Tc"], "fractional_positions": [[0.000, 0.000, 0.000], [0.214, 0.214, 0.214], [0.441, 0.441, 0.441], [0.605, 0.605, 0.605]], "space_group": "No. 160", "ef_ev_per_atom": 0.14}

---

# 2
{"formula": "Na2In2Sb", "functional": "PBE", "state": "relaxed", "lattice": [[8.611, 0.000, 0.000], [0.000, 8.611, 0.000], [0.000, 0.000, 3.665]], "species": ["Na", "Na", "Na", "Na", "In", "In", "In", "In", "Sb", "Sb"], "fractional_positions": [[0.174, 0.326, 0.000], [0.326, 0.826, 0.000], [0.674, 0.174, 0.000], [0.826, 0.674, 0.000], [0.127, 0.627, 0.500], [0.373, 0.127, 0.500], [0.627, 0.873, 0.500], [0.873, 0.373, 0.500], [0.000, 0.000, 0.500], [0.500, 0.500, 0.500]], "space_group": "No. 127", "e_tot_ev_per_atom": -2.49}

---

# 3
{"formula": "MnSi2As", "functional": "PBE", "state": "relaxed", "lattice": [[-1.717, 2.288, 3.781], [1.717, -2.288, 3.781], [1.717, 2.288, -3.781]], "species": ["Mn", "Si", "Si", "As"], "fractional_positions": [[0.000, 0.000, 0.000], [0.254, 0.754, 0.500], [0.483, 0.483, 0.000], [0.730, 0.230, 0.500]], "space_group": "No. 44", "e_tot_ev_per_atom": -5.87}

---

# 4
{"formula": "TaNbPbO6", "functional": "PBE", "state": "relaxed", "lattice": [[5.385, 0.000, 0.000], [-2.693, 4.664, 0.000], [0.000, 0.000, 10.783]], "species": ["Ta", "Ta", "Nb", "Nb", "Pb", "Pb", "O", "O", "O", "O", "O", "O", "O", "O", "O", "O", "O", "O"], "fractional_positions": [[0.333, 0.667, 0.250], [0.667, 0.333, 0.750], [0.333, 0.667, 0.750], [0.667, 0.333, 0.250], [0.000, 0.000, 0.000], [0.000, 0.000, 0.500], [0.002, 0.383, 0.147], [0.002, 0.619, 0.353], [0.381, 0.383, 0.353], [0.381, 0.998, 0.147], [0.383, 0.002, 0.647], [0.383, 0.381, 0.853], [0.617, 0.619, 0.147], [0.617, 0.998, 0.353], [0.619, 0.002, 0.853], [0.619, 0.617, 0.647], [0.998, 0.381, 0.647], [0.998, 0.617, 0.853]], "space_group": "No. 163", "e_tot_ev_per_atom": -8.56}

---

# 5
{"formula": "Rb2GeBr6O", "functional": "PBE", "state": "relaxed", "lattice": [[-3.531, 3.531, 6.045], [3.531, -3.531, 6.045], [3.531, 3.531, -6.045]], "species": ["Rb", "Rb", "Ge", "Br", "Br", "Br", "Br", "Br", "Br", "O"], "fractional_positions": [[0.250, 0.750, 0.500], [0.750, 0.250, 0.500], [0.000, 0.000, 0.000], [0.218, 0.218, 0.000], [0.259, 0.259, 0.519], [0.259, 0.741, 0.000], [0.741, 0.259, 0.000], [0.741, 0.741, 0.481], [0.782, 0.782, 0.000], [0.500, 0.500, 0.000]], "space_group": "No. 139", "e_tot_ev_per_atom": -2.85}

---

# 6
{"formula": "VPHS2", "functional": "PBE", "state": "relaxed", "lattice": [[4.515, 0.000, 0.000], [0.000, 4.515, 0.000], [0.000, 0.000, 4.610]], "species": ["V", "P", "H", "S", "S"], "fractional_positions": [[0.000, 0.000, 0.000], [0.000, 0.000, 0.500], [0.500, 0.500, 0.500], [0.000, 0.500, 0.000], [0.500, 0.000, 0.000]], "space_group": "No. 123", "e_tot_ev_per_atom": -4.73}

---

For each record above, in turn, the calculated D(E_F) values are 8.73; 4.46; 1.83; 0.00; 3.89; 2.11 states/eV/cell.